Record 1
A relaxed TlP2PdS8 crystal, computed with PBE.

abc: 5.829 5.829 9.268
angles: 90.00 90.00 120.00
Fractional coordinates of all 12 atoms:
Tl: 0.000 0.000 0.000
P: 0.333 0.667 0.719
P: 0.667 0.333 0.281
Pd: 0.000 0.000 0.500
S: 0.013 0.678 0.339
S: 0.322 0.336 0.339
S: 0.333 0.667 0.936
S: 0.336 0.013 0.661
S: 0.664 0.987 0.339
S: 0.667 0.333 0.064
S: 0.678 0.664 0.661
S: 0.987 0.322 0.661

Summary:
The spin magnetization is 0.000 μB/atom. Its uncorrected formation energy is -0.077 eV per atom. As for the space-group type: P-3 (147).

---

Record 2
A relaxed Ce2Dy3Ru4 crystal, computed with PBE.

abc: 8.724 8.724 5.914
angles: 100.15 100.15 69.90
Fractional coordinates of all 18 atoms:
Ce: 0.087 0.290 0.465
Ce: 0.290 0.087 0.965
Ce: 0.710 0.913 0.035
Ce: 0.913 0.710 0.535
Dy: 0.129 0.871 0.250
Dy: 0.296 0.512 0.901
Dy: 0.488 0.704 0.599
Dy: 0.512 0.296 0.401
Dy: 0.704 0.488 0.099
Dy: 0.871 0.129 0.750
Ru: 0.065 0.339 0.992
Ru: 0.190 0.559 0.385
Ru: 0.339 0.065 0.492
Ru: 0.441 0.810 0.115
Ru: 0.559 0.190 0.885
Ru: 0.661 0.935 0.508
Ru: 0.810 0.441 0.615
Ru: 0.935 0.661 0.008

Summary:
The spin magnetization is 0.000 μB/atom. The calculation puts the energy of formation from the pure elements at -317 meV/atom. As for the space-group type: C2/c (15).

---

Record 3
A relaxed KZnNiH6 crystal, computed with PBE.

abc: 4.550 4.550 5.331
angles: 90.00 90.00 120.00
Fractional coordinates of all 9 atoms:
K: 0.000 0.000 0.000
Zn: 0.333 0.667 0.500
Ni: 0.667 0.333 0.500
H: 0.474 0.034 0.696
H: 0.474 0.440 0.304
H: 0.560 0.034 0.304
H: 0.560 0.526 0.696
H: 0.966 0.440 0.696
H: 0.966 0.526 0.304

Summary:
The spin magnetization is 0.000 μB/atom. As for the space-group type: P312 (149). For the total energy, the calculation gives -3.21 eV per atom.

---

Record 4
A relaxed TlCdHgAu crystal, computed with PBE.

abc: 7.327 7.327 7.327
angles: 90.00 90.00 90.00
Fractional coordinates of all 16 atoms:
Tl: 0.000 0.000 0.000
Tl: 0.000 0.500 0.500
Tl: 0.500 0.000 0.500
Tl: 0.500 0.500 0.000
Cd: 0.000 0.000 0.500
Cd: 0.000 0.500 0.000
Cd: 0.500 0.000 0.000
Cd: 0.500 0.500 0.500
Hg: 0.250 0.250 0.750
Hg: 0.250 0.750 0.250
Hg: 0.750 0.250 0.250
Hg: 0.750 0.750 0.750
Au: 0.250 0.250 0.250
Au: 0.250 0.750 0.750
Au: 0.750 0.250 0.750
Au: 0.750 0.750 0.250

Summary:
The spin magnetization is 0.000 μB/atom. The calculation puts the energy of formation from the pure elements at 25 meV/atom. As for the space-group type: F-43m (216).